# 1
Crystalline MgTl2Sn at its relaxed geometry. Source: Alexandria, functional GGA-PBEsol.

Cell: 5.293 5.293 5.293 Å, 60.00 60.00 60.00°
Fractional positions:
Mg (0.000, 0.000, 0.000)
Tl (0.250, 0.250, 0.250)
Tl (0.750, 0.750, 0.750)
Sn (0.500, 0.500, 0.500)

Output
- E: -11.2 eV/cell
- Formation enthalpy at 0 K: 0.001 eV/atom
- Symmetry: No. 225

***

# 2
Crystalline Be2AlAs at its relaxed geometry. Source: Alexandria, functional GGA-PBEsol.

Cell: 7.203 7.203 7.203 Å, 24.06 24.06 24.06°
Fractional positions:
Be (0.245, 0.245, 0.245)
Be (0.755, 0.755, 0.755)
Al (0.000, 0.000, 0.000)
As (0.500, 0.500, 0.500)

Output
- E: -15.8 eV/cell
- Formation enthalpy at 0 K: 0.343 eV/atom
- Symmetry: No. 166

***

# 3
Crystalline V4O7 at its relaxed geometry. Source: Alexandria, functional GGA-PBEsol.

Cell: 5.489 6.728 6.977 Å, 64.33 70.53 74.99°
Fractional positions:
V (0.180, 0.103, 0.259)
V (0.186, 0.092, 0.762)
V (0.282, 0.629, 0.584)
V (0.290, 0.629, 0.081)
V (0.710, 0.371, 0.919)
V (0.718, 0.371, 0.416)
V (0.814, 0.908, 0.238)
V (0.820, 0.897, 0.741)
O (0.027, 0.172, 0.019)
O (0.083, 0.390, 0.257)
O (0.171, 0.776, 0.298)
O (0.206, 0.947, 0.565)
O (0.355, 0.333, 0.592)
O (0.400, 0.533, 0.839)
O (0.471, 0.897, 0.862)
O (0.529, 0.103, 0.138)
O (0.600, 0.467, 0.161)
O (0.645, 0.667, 0.408)
O (0.794, 0.053, 0.435)
O (0.829, 0.224, 0.702)
O (0.917, 0.610, 0.743)
O (0.973, 0.828, 0.981)

Output
- E: -202.8 eV/cell
- Formation energy (no corrections): -2.37 eV/atom
- Symmetry: No. 2

***

# 4
Crystalline KBaCuPt2 at its relaxed geometry. Source: Alexandria, functional GGA-PBEsol.

Cell: 4.877 4.877 5.248 Å, 90.00 90.00 90.00°
Fractional positions:
K (0.000, 0.000, 0.000)
Ba (0.500, 0.500, 0.000)
Cu (0.500, 0.500, 0.500)
Pt (0.000, 0.500, 0.500)
Pt (0.500, 0.000, 0.500)

Output
- E: -20.2 eV/cell
- Formation enthalpy at 0 K: 0.261 eV/atom
- Symmetry: No. 123

***

# 5
Crystalline BaSr2Ca at its relaxed geometry. Source: Alexandria, functional GGA-PBEsol.

Cell: 4.027 4.027 12.938 Å, 90.00 90.00 107.96°
Fractional positions:
Ba (0.000, 0.000, 0.000)
Sr (0.500, 0.500, 0.261)
Sr (0.500, 0.500, 0.739)
Ca (0.000, 0.000, 0.500)

Output
- E: -7.9 eV/cell
- Formation enthalpy at 0 K: 0.020 eV/atom
- Symmetry: No. 65

***

# 6
Crystalline Ta6Cr3Ni3C2 at its relaxed geometry. Source: Alexandria, functional GGA-PBEsol.

Cell: 7.998 7.998 7.998 Å, 120.35 119.87 89.81°
Fractional positions:
Ta (0.000, 0.000, 0.000)
Ta (0.246, 0.137, 0.500)
Ta (0.246, 0.746, 0.110)
Ta (0.248, 0.748, 0.500)
Ta (0.385, 0.000, 0.000)
Ta (0.385, 0.385, 0.386)
Ta (0.386, 0.386, 0.000)
Ta (0.636, 0.137, 0.890)
Ta (0.636, 0.746, 0.500)
Ta (0.639, 0.139, 0.500)
Ta (0.999, 0.000, 0.614)
Ta (0.999, 0.385, 0.000)
Cr (0.021, 0.369, 0.653)
Cr (0.322, 0.570, 0.752)
Cr (0.716, 0.369, 0.347)
Cr (0.815, 0.069, 0.254)
Cr (0.815, 0.562, 0.746)
Cr (0.818, 0.570, 0.248)
Ni (0.023, 0.366, 0.342)
Ni (0.023, 0.681, 0.658)
Ni (0.612, 0.455, 0.842)
Ni (0.612, 0.770, 0.158)
Ni (0.615, 0.771, 0.845)
Ni (0.926, 0.771, 0.155)
C (0.316, 0.067, 0.250)
C (0.317, 0.067, 0.750)
C (0.317, 0.567, 0.250)
C (0.817, 0.067, 0.750)

Output
- E: -297.6 eV/cell
- Formation enthalpy at 0 K: -0.359 eV/atom
- Symmetry: No. 44

***

Q: Among the records above, which one has the highest E?
A: BaSr2Ca

***

Q: Number 5 is which compound?
A: BaSr2Ca

***

Q: E of number 5 (BaSr2Ca)?
A: -7.9 eV/cell

***

Q: Look up the E of the first one.
A: -11.2 eV/cell